1.
# Li3Sb2Te4 | the Alexandria database | PBE-GGA | relaxed
# energy relative to the elements, uncorrected = -432 meV per atom
data_Li3Sb2Te4
_cell_length_a 15.7851
_cell_length_b 8.8883
_cell_length_c 9.3104
_cell_angle_alpha 90.00
_cell_angle_beta 125.56
_cell_angle_gamma 90.00
_symmetry_space_group_name_H-M 'C 1 2/c 1'
_symmetry_Int_Tables_number 15
_symmetry_space_group_name_Hall '-C 2yc'
loop_
_atom_site_label
_atom_site_type_symbol
_atom_site_fract_x
_atom_site_fract_y
_atom_site_fract_z
_atom_site_occupancy
Li1 Li 0.0000 0.0229 0.2500 1
Li2 Li 0.1089 0.3023 0.8710 1
Sb1 Sb 0.2312 0.2491 0.7064 1
Te1 Te 0.0115 0.2426 0.5108 1
Te2 Te 0.2328 0.0104 0.4821 1



2.
# Sm3YPd2 | the Alexandria database | PBE-GGA | relaxed
# formation energy = -0.55 eV/atom
data_Sm3YPd2
_cell_length_a 3.8485
_cell_length_b 9.8433
_cell_length_c 8.6195
_cell_angle_alpha 90.00
_cell_angle_beta 90.00
_cell_angle_gamma 90.00
_symmetry_space_group_name_H-M 'P m c 21'
_symmetry_Int_Tables_number 26
_symmetry_space_group_name_Hall 'P 2c -2'
loop_
_atom_site_label
_atom_site_type_symbol
_atom_site_fract_x
_atom_site_fract_y
_atom_site_fract_z
_atom_site_occupancy
Sm1 Sm 0.0000 0.0685 0.0000 1
Sm2 Sm 0.0000 0.2879 0.3474 1
Sm3 Sm 0.5000 0.2163 0.6776 1
Y1 Y 0.5000 0.4325 0.0229 1
Pd1 Pd 0.0000 0.4258 0.7494 1
Pd2 Pd 0.5000 0.0775 0.2738 1



3.
# NaMg2SnAu4 | the Alexandria database | PBE-GGA | relaxed
# formation energy = -0.37 eV/atom
data_NaMg2SnAu4
_cell_length_a 4.7525
_cell_length_b 4.7525
_cell_length_c 23.9511
_cell_angle_alpha 90.00
_cell_angle_beta 90.00
_cell_angle_gamma 120.00
_symmetry_space_group_name_H-M 'R -3 m'
_symmetry_Int_Tables_number 166
_symmetry_space_group_name_Hall '-R 3 2"'
loop_
_atom_site_label
_atom_site_type_symbol
_atom_site_fract_x
_atom_site_fract_y
_atom_site_fract_z
_atom_site_occupancy
Na1 Na 0.0000 0.0000 0.0000 1
Mg1 Mg 0.0000 0.0000 0.2546 1
Sn1 Sn 0.0000 0.0000 0.5000 1
Au1 Au 0.0000 0.0000 0.1228 1
Au2 Au 0.0000 0.0000 0.3742 1



4.
# Ce2Ho2Sb3 | the Alexandria database | PBE-GGA | relaxed
# energy relative to the elements, uncorrected = -770 meV per atom
data_Ce2Ho2Sb3
_cell_length_a 14.1986
_cell_length_b 4.4502
_cell_length_c 7.3934
_cell_angle_alpha 90.00
_cell_angle_beta 99.74
_cell_angle_gamma 90.00
_symmetry_space_group_name_H-M 'C 1 2/m 1'
_symmetry_Int_Tables_number 12
_symmetry_space_group_name_Hall '-C 2y'
loop_
_atom_site_label
_atom_site_type_symbol
_atom_site_fract_x
_atom_site_fract_y
_atom_site_fract_z
_atom_site_occupancy
Ce1 Ce 0.1222 0.0000 0.3526 1
Ho1 Ho 0.1195 0.5000 0.8833 1
Sb1 Sb 0.0000 0.5000 0.5000 1
Sb2 Sb 0.2395 0.0000 0.7539 1